No. 1
This record from Alexandria describes Tb3SmTm2P6 after structural relaxation. The functional is PBE.

Lattice parameters (Å, degrees): 6.955 6.955 6.956 99.59 99.59 119.99
Positions (direct):
Tb  0.000  0.000  0.000
Tb  0.334  0.666  0.000
Tb  0.666  0.334  0.000
Sm  0.500  0.500  0.500
Tm  0.167  0.833  0.500
Tm  0.833  0.167  0.500
P  0.079  0.417  0.252
P  0.244  0.244  0.748
P  0.417  0.079  0.252
P  0.583  0.921  0.748
P  0.756  0.756  0.252
P  0.921  0.583  0.748

Calculated values
Formation energy from the elements (eV per atom): -1.5975
Symmetry: No. 12
Total magnetization (μB/f.u.): 0.00
N(E_F) (states/eV per atom): 0.1403
Total DFT energy (no corrections) (eV per atom): -6.60


No. 2
This record from Alexandria describes TbSmTm2P4 after structural relaxation. The functional is PBE.

Lattice parameters (Å, degrees): 6.940 4.011 6.943 90.00 109.48 90.00
Positions (direct):
Tb  0.000  0.000  0.000
Sm  0.000  0.500  0.500
Tm  0.500  0.000  0.500
Tm  0.500  0.500  0.000
P  0.257  0.500  0.250
P  0.258  0.000  0.755
P  0.742  0.000  0.245
P  0.743  0.500  0.750

Calculated values
Formation energy from the elements (eV per atom): -1.5939
Symmetry: No. 10
Total magnetization (μB/f.u.): 0.00
N(E_F) (states/eV per atom): 0.1104
Total DFT energy (no corrections) (eV per atom): -6.59


No. 3
This record from Alexandria describes TbSm2TmP4 after structural relaxation. The functional is PBE.

Lattice parameters (Å, degrees): 7.009 4.051 7.012 90.00 109.47 90.00
Positions (direct):
Tb  0.000  0.000  0.000
Sm  0.500  0.000  0.500
Sm  0.500  0.500  0.000
Tm  0.000  0.500  0.500
P  0.242  0.000  0.745
P  0.244  0.500  0.250
P  0.756  0.500  0.750
P  0.758  0.000  0.255

Calculated values
Formation energy from the elements (eV per atom): -1.5853
Symmetry: No. 10
Total magnetization (μB/f.u.): 0.00
N(E_F) (states/eV per atom): 0.0965
Total DFT energy (no corrections) (eV per atom): -6.61